Record 1
DFT (SCAN) results for TaAl2AuS at its PBEsol-relaxed geometry.

extended XYZ file:
```
5
Lattice="-2.602 -1.537 -3.839 -3.610 -1.767 3.154 -2.381 4.517 -0.194" Properties=species:S:1:pos:R:3 pbc="T T T"
S -4.297 0.606 -0.440
Al -1.190 2.258 -0.097
Al -1.805 -0.884 1.577
Au -1.301 -0.768 -1.920
Ta 0.000 0.000 0.000
```

Symmetry = P4/mmm (123)
E_tot = -30.974 eV per atom
Energy relative to the elements, uncorrected = 1.201 eV/atom

=====

Record 2
DFT (SCAN) results for YMgInW2 at its PBEsol-relaxed geometry.

extended XYZ file:
```
5
Lattice="4.816 0.000 0.000 0.000 5.006 0.000 0.000 0.000 5.006" Properties=species:S:1:pos:R:3 pbc="T T T"
W 0.000 0.000 2.503
W 0.000 2.503 0.000
Mg 2.408 0.000 0.000
Y 2.408 2.503 2.503
In 0.000 0.000 0.000
```

Energy of formation from the pure elements = 1.64 eV per atom
Symmetry = P4/mmm (123)
E_tot = -39.472 eV per atom

=====

Record 3
DFT (SCAN) results for SiAs2Au at its PBEsol-relaxed geometry.

extended XYZ file:
```
8
Lattice="5.744 0.000 0.000 0.000 5.744 0.000 -2.872 -2.872 5.425" Properties=species:S:1:pos:R:3 pbc="T T T"
As 4.219 1.436 1.356
As 1.525 4.308 1.356
As 1.436 1.347 4.068
As -1.436 -1.347 4.068
Si 2.872 0.000 2.712
Si 2.872 2.872 0.000
Au 0.000 2.872 2.712
Au 0.000 0.000 0.000
```

Symmetry = I-42d (122)
E_tot = -29.931 eV per atom
Energy relative to the elements, uncorrected = -0.043 eV/atom

=====

Record 4
DFT (SCAN) results for Zn2Ir at its PBEsol-relaxed geometry.

extended XYZ file:
```
12
Lattice="3.762 0.000 0.000 0.000 3.762 0.000 -1.881 -1.881 11.500" Properties=species:S:1:pos:R:3 pbc="T T T"
Zn 0.000 1.881 11.488
Zn 1.881 0.000 7.766
Zn 0.000 1.881 0.012
Zn 1.881 0.000 3.734
Zn 1.881 1.881 5.762
Zn 1.881 1.881 2.016
Zn 0.000 0.000 5.738
Zn 0.000 0.000 9.485
Ir 0.000 1.881 7.521
Ir 0.000 0.000 1.771
Ir 1.881 1.881 9.729
Ir 0.000 1.881 3.979
```

Energy of formation from the pure elements = -0.19 eV per atom
Symmetry = I4_1/amd (141)
E_tot = -32.899 eV per atom

=====

Record 5
DFT (SCAN) results for CaTcNi2N at its PBEsol-relaxed geometry.

extended XYZ file:
```
5
Lattice="4.097 0.000 0.000 0.000 4.374 0.000 0.000 0.000 4.374" Properties=species:S:1:pos:R:3 pbc="T T T"
Ni 0.000 2.187 0.000
Ni 0.000 0.000 2.187
Tc 2.049 2.187 2.187
Ca 0.000 0.000 0.000
N 2.049 0.000 0.000
```

Symmetry = P4/mmm (123)
E_tot = -15.152 eV per atom
Energy relative to the elements, uncorrected = 2.120 eV/atom

=====

Record 6
DFT (SCAN) results for NiMo2Rh at its PBEsol-relaxed geometry.

extended XYZ file:
```
4
Lattice="-2.149 0.329 1.553 -0.386 -2.644 0.026 4.363 -0.577 6.159" Properties=species:S:1:pos:R:3 pbc="T T T"
Mo 1.053 -0.139 1.486
Mo 3.310 -0.438 4.673
Ni -1.268 -1.157 0.790
Rh 0.914 -1.446 3.869
```

Energy of formation from the pure elements = -0.05 eV per atom
Symmetry = P4/mmm (123)
E_tot = -29.974 eV per atom

=====

Record 7
DFT (SCAN) results for Tc2NiPb at its PBEsol-relaxed geometry.

extended XYZ file:
```
4
Lattice="3.044 0.000 0.000 0.000 3.044 0.000 0.000 0.000 6.723" Properties=species:S:1:pos:R:3 pbc="T T T"
Pb 1.522 1.522 4.891
Ni 0.000 0.000 3.166
Tc 0.000 0.000 0.333
Tc 1.522 1.522 1.694
```

Energy of formation from the pure elements = 0.38 eV per atom
Symmetry = P4mm (99)
E_tot = -40.137 eV per atom

=====

Record 8
DFT (SCAN) results for LiAlNi6 at its PBEsol-relaxed geometry.

extended XYZ file:
```
32
Lattice="-3.167 5.151 -0.102 -2.207 -3.816 -4.140 -6.227 -3.695 6.725" Properties=species:S:1:pos:R:3 pbc="T T T"
Ni 0.000 0.000 0.000
Ni -3.992 -2.496 -1.464
Ni -6.925 -1.779 5.331
Ni -9.599 -1.115 3.220
Ni -6.238 -1.503 -1.170
Ni -5.800 -1.180 1.241
Ni -6.685 -4.024 4.320
Ni -7.128 -4.357 1.923
Ni -9.359 -3.359 2.209
Ni -5.123 -3.100 2.642
Ni -2.687 0.668 -2.121
Ni -3.795 0.073 1.959
Ni -6.478 0.740 -0.159
Ni -2.242 1.000 0.274
Ni -5.363 -0.857 3.652
Ni -2.002 -1.245 -0.737
Ni -4.473 1.998 0.559
Ni -4.676 -0.581 -2.849
Ni -7.806 -2.433 0.523
Ni -7.609 0.137 3.947
Ni -3.555 -2.170 0.949
Ni -8.046 -0.190 1.533
Ni -4.916 1.664 -1.838
Ni -3.114 -1.847 3.362
Al -4.678 -2.776 5.052
Al -5.561 -3.417 0.234
Al -6.040 1.058 2.249
Al -1.549 -0.919 1.673
Li -2.446 -1.580 -3.134
Li -4.242 -0.255 -0.442
Li -7.359 -2.104 2.924
Li -2.927 2.916 -1.109
```

Energy of formation from the pure elements = -0.21 eV per atom
Symmetry = Cmmm (65)
E_tot = -13.609 eV per atom

=====

Record 9
DFT (SCAN) results for Li2ScPd2 at its PBEsol-relaxed geometry.

extended XYZ file:
```
5
Lattice="4.399 0.000 0.000 -2.200 4.487 -0.021 0.000 2.174 3.825" Properties=species:S:1:pos:R:3 pbc="T T T"
Sc 0.000 0.000 0.000
Pd 0.000 2.787 0.946
Pd 2.200 3.874 2.858
Li 0.000 4.674 2.403
Li 2.200 1.987 1.401
```

Energy of formation from the pure elements = -0.44 eV per atom
Symmetry = I4/mmm (139)
E_tot = -17.352 eV per atom

=====

Record 10
DFT (SCAN) results for LiZrPb2 at its PBEsol-relaxed geometry.

extended XYZ file:
```
4
Lattice="-0.124 -0.254 -3.251 2.573 -4.611 0.263 -4.614 -2.554 0.375" Properties=species:S:1:pos:R:3 pbc="T T T"
Zr 0.905 -1.859 -1.527
Li -0.119 -5.435 -1.208
Pb -1.343 -3.004 0.286
Pb 2.253 -4.037 0.230
```

Energy of formation from the pure elements = -0.34 eV per atom
Symmetry = Pmm2 (25)
E_tot = -46.504 eV per atom

=====

Record 11
DFT (SCAN) results for OsRh2Cl at its PBEsol-relaxed geometry.

extended XYZ file:
```
4
Lattice="2.791 0.000 0.000 0.000 3.453 0.000 0.000 0.000 6.099" Properties=species:S:1:pos:R:3 pbc="T T T"
Os 1.396 1.727 4.806
Cl 0.000 0.000 2.980
Rh 1.396 1.727 1.407
Rh 0.000 0.000 6.053
```

Symmetry = Pmm2 (25)
E_tot = -36.174 eV per atom
Energy relative to the elements, uncorrected = 0.676 eV/atom

=====

Record 12
DFT (SCAN) results for KBaLi2 at its PBEsol-relaxed geometry.

extended XYZ file:
```
4
Lattice="6.126 0.000 0.000 3.063 5.305 0.000 3.063 1.768 5.002" Properties=species:S:1:pos:R:3 pbc="T T T"
Li 0.000 0.000 0.000
Li 9.189 5.305 3.751
Ba 6.126 3.537 2.501
K 3.063 1.768 1.250
```

Energy of formation from the pure elements = 0.18 eV per atom
Symmetry = F-43m (216)
E_tot = -12.981 eV per atom